Entry from Alexandria: a geometry-optimized TlFeSn2F8 structure (GGA+U).

Lattice parameters (Å, degrees): 4.997 5.006 7.786 96.45 103.70 90.72
Fractional coordinates of all 12 atoms:
Tl: 0.000 0.000 0.000
Fe: 0.000 0.000 0.500
Sn: 0.414 0.451 0.251
Sn: 0.586 0.549 0.749
F: 0.113 0.759 0.305
F: 0.210 0.762 0.695
F: 0.348 0.292 0.523
F: 0.498 0.261 0.902
F: 0.502 0.739 0.098
F: 0.652 0.708 0.477
F: 0.790 0.238 0.305
F: 0.887 0.241 0.695

Calculated values
Energy: -57.3 eV per formula unit
Total magnetic moment: 3.79 μB per cell
Volume: 15.7 A^3/atom
Space-group type: P-1